This record from Alexandria describes Cd2Bi2I after structural relaxation. The functional is GGA-PBEsol.

Geometry as CIF:
```
data_Cd2Bi2I
_cell_length_a 5.538
_cell_length_b 5.538
_cell_length_c 10.325
_cell_angle_alpha 90.00
_cell_angle_beta 90.00
_cell_angle_gamma 90.00
_symmetry_space_group_name_H-M 'I 4/m m m'
_symmetry_Int_Tables_number 139
_symmetry_space_group_name_Hall '-I 4 2'
loop_
_atom_site_label
_atom_site_type_symbol
_atom_site_fract_x
_atom_site_fract_y
_atom_site_fract_z
Cd1 Cd 0.000 0.500 0.250
Bi1 Bi 0.000 0.000 0.144
I1 I 0.000 0.000 0.500
```

Calculated values
- volume (Å³/cell) = 316.7
- formation energy from raw total energies (eV/atom) = 0.06
- magnetic moment (μB per formula unit) = 0.00
- total energy (eV per atom) = -2.482

***

This record from Alexandria describes CuRh3 after structural relaxation. The functional is GGA-PBEsol.

Geometry as CIF:
```
data_CuRh3
_cell_length_a 8.732
_cell_length_b 2.668
_cell_length_c 4.561
_cell_angle_alpha 90.00
_cell_angle_beta 100.33
_cell_angle_gamma 90.00
_symmetry_space_group_name_H-M 'C 1 2/m 1'
_symmetry_Int_Tables_number 12
_symmetry_space_group_name_Hall '-C 2y'
loop_
_atom_site_label
_atom_site_type_symbol
_atom_site_fract_x
_atom_site_fract_y
_atom_site_fract_z
Cu1 Cu 0.000 0.000 0.000
Rh1 Rh 0.000 0.500 0.500
Rh2 Rh 0.249 0.000 0.751
```

Calculated values
- volume (Å³/cell) = 104.5
- E_form (eV per atom) = 0.0526
- magnetic moment (μB per formula unit) = 0.00
- total energy (eV per atom) = -7.135

***

This record from Alexandria describes RbPt2S after structural relaxation. The functional is GGA-PBEsol.

Geometry as CIF:
```
data_RbPt2S
_cell_length_a 5.377
_cell_length_b 5.377
_cell_length_c 14.419
_cell_angle_alpha 90.00
_cell_angle_beta 90.00
_cell_angle_gamma 90.00
_symmetry_space_group_name_H-M 'I 41/a m d'
_symmetry_Int_Tables_number 141
loop_
_symmetry_equiv_pos_as_xyz
'x,y,z'
'-x,-y,-z'
'-y+1/4,x+3/4,z+1/4'
'y+1/4,-x+3/4,-z+1/4'
'-x+1/2,-y,z+1/2'
'x+1/2,y,-z+1/2'
'y+1/4,-x+1/4,z+3/4'
'-y+1/4,x+1/4,-z+3/4'
'x,-y,-z'
'-x,y,z'
'-y+1/4,-x+1/4,-z+3/4'
'y+1/4,x+1/4,z+3/4'
'-x+1/2,y,-z+1/2'
'x+1/2,-y,z+1/2'
'y+1/4,x+3/4,-z+1/4'
'-y+1/4,-x+3/4,z+1/4'
'x+1/2,y+1/2,z+1/2'
'-x+1/2,-y+1/2,-z+1/2'
'-y+3/4,x+1/4,z+3/4'
'y+3/4,-x+1/4,-z+3/4'
'-x,-y+1/2,z'
'x,y+1/2,-z'
'y+3/4,-x+3/4,z+1/4'
'-y+3/4,x+3/4,-z+1/4'
'x+1/2,-y+1/2,-z+1/2'
'-x+1/2,y+1/2,z+1/2'
'-y+3/4,-x+3/4,-z+1/4'
'y+3/4,x+3/4,z+1/4'
'-x,y+1/2,-z'
'x,-y+1/2,z'
'y+3/4,x+1/4,-z+3/4'
'-y+3/4,-x+1/4,z+3/4'
loop_
_atom_site_label
_atom_site_type_symbol
_atom_site_fract_x
_atom_site_fract_y
_atom_site_fract_z
Rb1 Rb 0.000 0.250 0.375
Pt1 Pt 0.000 0.000 0.000
S1 S 0.000 0.250 0.875
```

Calculated values
- volume (Å³/cell) = 416.9
- formation energy from raw total energies (eV/atom) = -0.43
- magnetic moment (μB per formula unit) = 0.00
- total energy (eV per atom) = -5.261

***

This record from Alexandria describes LiMgPb after structural relaxation. The functional is GGA-PBEsol.

Geometry as CIF:
```
data_LiMgPb
_cell_length_a 4.7925
_cell_length_b 4.7925
_cell_length_c 3.3458
_cell_angle_alpha 90.00
_cell_angle_beta 90.00
_cell_angle_gamma 120.00
_symmetry_space_group_name_H-M 'P 3 m 1'
_symmetry_Int_Tables_number 156
_symmetry_space_group_name_Hall 'P 3 -2"'
loop_
_atom_site_label
_atom_site_type_symbol
_atom_site_fract_x
_atom_site_fract_y
_atom_site_fract_z
Li1 Li 0.0000 0.0000 0.0000
Mg1 Mg 0.3333 0.6667 0.5914
Pb1 Pb 0.6667 0.3333 0.2244
```

Calculated values
- volume (Å³/cell) = 66.6
- E_form (eV per atom) = -0.1569
- magnetic moment (μB per formula unit) = 0.00
- total energy (eV per atom) = -2.718

***

This record from Alexandria describes GaAg2OF after structural relaxation. The functional is GGA-PBEsol.

Geometry as CIF:
```
data_GaAg2OF
_cell_length_a 4.201
_cell_length_b 4.201
_cell_length_c 4.645
_cell_angle_alpha 90.00
_cell_angle_beta 90.00
_cell_angle_gamma 90.00
_symmetry_space_group_name_H-M 'P 4/m m m'
_symmetry_Int_Tables_number 123
_symmetry_space_group_name_Hall '-P 4 2'
loop_
_atom_site_label
_atom_site_type_symbol
_atom_site_fract_x
_atom_site_fract_y
_atom_site_fract_z
Ga1 Ga 0.000 0.000 0.000
Ag1 Ag 0.000 0.500 0.500
O1 O 0.500 0.500 0.000
F1 F 0.500 0.500 0.500
```

Calculated values
- volume (Å³/cell) = 82.0
- formation energy from raw total energies (eV/atom) = 0.23
- magnetic moment (μB per formula unit) = 0.52
- total energy (eV per atom) = -3.202

***

This record from Alexandria describes SbRuPb2 after structural relaxation. The functional is GGA-PBEsol.

Geometry as CIF:
```
data_SbRuPb2
_cell_length_a 5.886
_cell_length_b 10.680
_cell_length_c 3.459
_cell_angle_alpha 90.00
_cell_angle_beta 121.89
_cell_angle_gamma 90.00
_symmetry_space_group_name_H-M 'C 1 2/m 1'
_symmetry_Int_Tables_number 12
_symmetry_space_group_name_Hall '-C 2y'
loop_
_atom_site_label
_atom_site_type_symbol
_atom_site_fract_x
_atom_site_fract_y
_atom_site_fract_z
Sb1 Sb 0.000 0.000 0.000
Ru1 Ru 0.000 0.500 0.000
Pb1 Pb 0.250 0.250 0.500
```

Calculated values
- volume (Å³/cell) = 184.6
- formation energy from raw total energies (eV/atom) = 0.64
- magnetic moment (μB per formula unit) = 0.00
- total energy (eV per atom) = -5.045

***

This record from Alexandria describes SrLiRe2 after structural relaxation. The functional is GGA-PBEsol.

Geometry as CIF:
```
data_SrLiRe2
_cell_length_a 3.197
_cell_length_b 4.237
_cell_length_c 5.173
_cell_angle_alpha 90.00
_cell_angle_beta 90.00
_cell_angle_gamma 90.00
_symmetry_space_group_name_H-M 'P m m m'
_symmetry_Int_Tables_number 47
_symmetry_space_group_name_Hall '-P 2 2'
loop_
_atom_site_label
_atom_site_type_symbol
_atom_site_fract_x
_atom_site_fract_y
_atom_site_fract_z
Sr1 Sr 0.000 0.000 0.000
Li1 Li 0.500 0.500 0.000
Re1 Re 0.000 0.500 0.500
Re2 Re 0.500 0.000 0.500
```

Calculated values
- volume (Å³/cell) = 70.1
- E_form (eV per atom) = 0.7721
- magnetic moment (μB per formula unit) = 0.00
- total energy (eV per atom) = -6.846

***

This record from Alexandria describes LiRh3 after structural relaxation. The functional is GGA-PBEsol.

Geometry as CIF:
```
data_LiRh3
_cell_length_a 2.651
_cell_length_b 4.292
_cell_length_c 4.579
_cell_angle_alpha 90.00
_cell_angle_beta 90.00
_cell_angle_gamma 90.00
_symmetry_space_group_name_H-M 'P m m 2'
_symmetry_Int_Tables_number 25
_symmetry_space_group_name_Hall 'P 2 -2'
loop_
_atom_site_label
_atom_site_type_symbol
_atom_site_fract_x
_atom_site_fract_y
_atom_site_fract_z
Li1 Li 0.000 0.000 0.000
Rh1 Rh 0.000 0.500 0.326
Rh2 Rh 0.500 0.000 0.505
Rh3 Rh 0.500 0.500 0.832
```

Calculated values
- volume (Å³/cell) = 52.1
- E_form (eV per atom) = -0.0290
- magnetic moment (μB per formula unit) = 0.00
- total energy (eV per atom) = -6.624

***

This record from Alexandria describes TaAlPt2 after structural relaxation. The functional is GGA-PBEsol.

Geometry as CIF:
```
data_TaAlPt2
_cell_length_a 2.886
_cell_length_b 2.886
_cell_length_c 7.216
_cell_angle_alpha 90.00
_cell_angle_beta 90.00
_cell_angle_gamma 90.00
_symmetry_space_group_name_H-M 'P 4/m m m'
_symmetry_Int_Tables_number 123
_symmetry_space_group_name_Hall '-P 4 2'
loop_
_atom_site_label
_atom_site_type_symbol
_atom_site_fract_x
_atom_site_fract_y
_atom_site_fract_z
Ta1 Ta 0.000 0.000 0.000
Al1 Al 0.000 0.000 0.500
Pt1 Pt 0.500 0.500 0.274
```

Calculated values
- volume (Å³/cell) = 60.1
- E_form (eV per atom) = -0.8040
- magnetic moment (μB per formula unit) = 0.00
- total energy (eV per atom) = -8.446

***

This record from Alexandria describes Y2ZrBr after structural relaxation. The functional is GGA-PBEsol.

Geometry as CIF:
```
data_Y2ZrBr
_cell_length_a 4.764
_cell_length_b 4.805
_cell_length_c 8.955
_cell_angle_alpha 90.00
_cell_angle_beta 90.00
_cell_angle_gamma 90.00
_symmetry_space_group_name_H-M 'C m m m'
_symmetry_Int_Tables_number 65
_symmetry_space_group_name_Hall '-C 2 2'
loop_
_atom_site_label
_atom_site_type_symbol
_atom_site_fract_x
_atom_site_fract_y
_atom_site_fract_z
Y1 Y 0.000 0.000 0.249
Zr1 Zr 0.000 0.500 0.000
Br1 Br 0.000 0.500 0.500
```

Calculated values
- volume (Å³/cell) = 205.0
- formation energy from raw total energies (eV/atom) = -0.45
- magnetic moment (μB per formula unit) = 0.00
- total energy (eV per atom) = -6.606

***

This record from Alexandria describes BaSc2PdN after structural relaxation. The functional is GGA-PBEsol.

Geometry as CIF:
```
data_BaSc2PdN
_cell_length_a 5.347
_cell_length_b 5.347
_cell_length_c 4.967
_cell_angle_alpha 90.00
_cell_angle_beta 90.00
_cell_angle_gamma 90.00
_symmetry_space_group_name_H-M 'P 4/m m m'
_symmetry_Int_Tables_number 123
_symmetry_space_group_name_Hall '-P 4 2'
loop_
_atom_site_label
_atom_site_type_symbol
_atom_site_fract_x
_atom_site_fract_y
_atom_site_fract_z
Ba1 Ba 0.000 0.000 0.000
Sc1 Sc 0.000 0.500 0.000
Pd1 Pd 0.000 0.000 0.500
N1 N 0.500 0.500 0.500
```

Calculated values
- volume (Å³/cell) = 142.0
- formation energy from raw total energies (eV/atom) = 2.29
- magnetic moment (μB per formula unit) = 0.96
- total energy (eV per atom) = -3.684

***

This record from Alexandria describes Na3ZrRh after structural relaxation. The functional is GGA-PBEsol.

Geometry as CIF:
```
data_Na3ZrRh
_cell_length_a 5.080
_cell_length_b 5.080
_cell_length_c 5.080
_cell_angle_alpha 90.00
_cell_angle_beta 90.00
_cell_angle_gamma 90.00
_symmetry_space_group_name_H-M 'P m -3 m'
_symmetry_Int_Tables_number 221
_symmetry_space_group_name_Hall '-P 4 2 3'
loop_
_atom_site_label
_atom_site_type_symbol
_atom_site_fract_x
_atom_site_fract_y
_atom_site_fract_z
Na1 Na 0.000 0.000 0.500
Zr1 Zr 0.500 0.500 0.500
Rh1 Rh 0.000 0.000 0.000
```

Calculated values
- volume (Å³/cell) = 131.1
- E_form (eV per atom) = 1.2619
- magnetic moment (μB per formula unit) = 2.08
- total energy (eV per atom) = -3.024

***

This record from Alexandria describes Na2MoRuS after structural relaxation. The functional is GGA-PBEsol.

Geometry as CIF:
```
data_Na2MoRuS
_cell_length_a 5.458
_cell_length_b 5.458
_cell_length_c 4.234
_cell_angle_alpha 90.00
_cell_angle_beta 90.00
_cell_angle_gamma 90.00
_symmetry_space_group_name_H-M 'P 4/m m m'
_symmetry_Int_Tables_number 123
_symmetry_space_group_name_Hall '-P 4 2'
loop_
_atom_site_label
_atom_site_type_symbol
_atom_site_fract_x
_atom_site_fract_y
_atom_site_fract_z
Na1 Na 0.000 0.500 0.000
Mo1 Mo 0.000 0.000 0.500
Ru1 Ru 0.500 0.500 0.000
S1 S 0.500 0.500 0.500
```

Calculated values
- volume (Å³/cell) = 126.1
- formation energy from raw total energies (eV/atom) = 1.22
- magnetic moment (μB per formula unit) = 5.35
- total energy (eV per atom) = -4.602